A plane-wave DFT calculation with SCAN was carried out for a PBEsol-optimized structure of Pm2ZnSn.

a b c (Å): 5.229 5.229 5.229
angles (deg): 60.00 60.00 60.00
Fractional positions:
Pm  0.250  0.250  0.250
Pm  0.750  0.750  0.750
Zn  0.000  0.000  0.000
Sn  0.500  0.500  0.500

Output
- SG = Fm-3m
- crystal system = cubic
- magnetization (μB/cell) = 0.0
- ΔE_f (kcal/mol of atoms) = -14.01